Material: Pu5Te4As
Method: DFT, PBE
State: relaxed

```
Pu5Te4As
1.0
4.3336 0.0000 -0.6107
-0.0861 4.3328 -0.6107
0.0240 0.0245 15.8508
Te Pu As
4 5 1
direct
0.5999 0.5999 0.1998
0.8021 0.8021 0.6043
0.4001 0.4001 0.8002
0.1979 0.1979 0.3957
0.2987 0.2987 0.5974
0.5000 0.5000 0.0000
0.0935 0.0935 0.1870
0.9065 0.9065 0.8130
0.7013 0.7013 0.4026
0.0000 0.0000 0.0000
```

Output
As for the energy above the most stable polymorph in this dataset: 0.029 eV per atom. The uncorrected formation energy comes out at -24.2 kcal/mol of atoms. The total energy comes out at -99.353 eV per formula unit. For the theoretical density, the calculation gives 10.07 g/cm3.